Computed, not measured: a relaxed Ac6Zn5Bi crystal at the PBE-GGA level of DFT.

Computed properties:
Size of the total moment   0.0 μB/f.u.
Symmetry   No. 12
Formation energy from the elements   -0.3104 eV/atom

```
Ac6Zn5Bi
1.0
4.8493 -8.4334 0.0000
4.8493 8.4334 0.0000
-3.2508 0.0000 4.5856
Ac Zn Bi
6 5 1
direct
0.0747 0.4162 0.7456
0.2422 0.2422 0.2423
0.4162 0.0747 0.7456
0.5838 0.9253 0.2544
0.7578 0.7578 0.7577
0.9253 0.5838 0.2544
0.0000 0.0000 0.5000
0.1667 0.8333 0.0000
0.3299 0.6701 0.5000
0.6701 0.3299 0.5000
0.8333 0.1667 0.0000
0.5000 0.5000 0.0000
```